# AuICl2F meta-GGA SCAN single point on PBEsol structure
# Uncorrected formation energy: 246 meV per atom
# Crystal system: tetragonal
# Total moment: 0.000 μB per atom
# DOS at the Fermi energy: 3.715 states/eV per cell
# Total DFT energy (no corrections): -24.833 eV per atom
# Volume: 128.9 Å³/f.u.
# Space group: P4/mmm (123)
data_AuICl2F
_chemical_formula_sum 'Au1 I1 Cl2 F1'
_cell_length_a 5.403
_cell_length_b 5.403
_cell_length_c 4.417
_cell_angle_alpha 90.00
_cell_angle_beta 90.00
_cell_angle_gamma 90.00
_symmetry_space_group_name_H-M 'P 1'
_symmetry_Int_Tables_number 1
_symmetry_space_group_name_Hall 'P 1'
loop_
_atom_site_label
_atom_site_fract_x
_atom_site_fract_y
_atom_site_fract_z
_atom_site_occupancy
Au1 0.000 0.000 0.000 1
I1 0.500 0.500 0.500 1
Cl1 0.000 0.500 0.500 1
Cl2 0.500 0.000 0.500 1
F1 0.500 0.500 0.000 1

***

# PAuClF3 meta-GGA SCAN single point on PBEsol structure
# Uncorrected formation energy: -1837 meV per atom
# Crystal system: orthorhombic
# Total moment: 0.000 μB per atom
# DOS at the Fermi energy: 0.000 states/eV per cell
# Total DFT energy (no corrections): -18.196 eV per atom
# Volume: 115.9 Å³/f.u.
# Space group: Pnma (62)
data_PAuClF3
_chemical_formula_sum 'P4 Au4 Cl4 F12'
_cell_length_a 18.768
_cell_length_b 5.264
_cell_length_c 4.691
_cell_angle_alpha 90.00
_cell_angle_beta 90.00
_cell_angle_gamma 90.00
_symmetry_space_group_name_H-M 'P 1'
_symmetry_Int_Tables_number 1
_symmetry_space_group_name_Hall 'P 1'
loop_
_atom_site_label
_atom_site_fract_x
_atom_site_fract_y
_atom_site_fract_z
_atom_site_occupancy
P1 0.141 0.250 0.011 1
P2 0.359 0.750 0.511 1
P3 0.641 0.250 0.489 1
P4 0.859 0.750 0.989 1
Au1 0.030 0.250 0.871 1
Au2 0.470 0.750 0.371 1
Au3 0.530 0.250 0.629 1
Au4 0.970 0.750 0.129 1
Cl1 0.076 0.750 0.362 1
Cl2 0.424 0.250 0.862 1
Cl3 0.576 0.750 0.138 1
Cl4 0.924 0.250 0.638 1
F1 0.165 0.250 0.328 1
F2 0.187 0.025 0.898 1
F3 0.187 0.475 0.898 1
F4 0.313 0.525 0.398 1
F5 0.313 0.975 0.398 1
F6 0.335 0.750 0.828 1
F7 0.665 0.250 0.172 1
F8 0.687 0.025 0.602 1
F9 0.687 0.475 0.602 1
F10 0.813 0.525 0.102 1
F11 0.813 0.975 0.102 1
F12 0.835 0.750 0.672 1

***

# AuSCl2F meta-GGA SCAN single point on PBEsol structure
# Uncorrected formation energy: 320 meV per atom
# Crystal system: tetragonal
# Total moment: 0.440 μB per atom
# DOS at the Fermi energy: 4.779 states/eV per cell
# Total DFT energy (no corrections): -19.336 eV per atom
# Volume: 112.1 Å³/f.u.
# Space group: P4/mmm (123)
data_AuSCl2F
_chemical_formula_sum 'Au1 S1 Cl2 F1'
_cell_length_a 4.814
_cell_length_b 4.814
_cell_length_c 4.837
_cell_angle_alpha 90.00
_cell_angle_beta 90.00
_cell_angle_gamma 90.00
_symmetry_space_group_name_H-M 'P 1'
_symmetry_Int_Tables_number 1
_symmetry_space_group_name_Hall 'P 1'
loop_
_atom_site_label
_atom_site_fract_x
_atom_site_fract_y
_atom_site_fract_z
_atom_site_occupancy
Au1 0.000 0.000 0.000 1
S1 0.000 0.000 0.500 1
Cl1 0.000 0.500 0.000 1
Cl2 0.500 0.000 0.000 1
F1 0.500 0.500 0.500 1

***

# SbAu2ClF meta-GGA SCAN single point on PBEsol structure
# Uncorrected formation energy: 355 meV per atom
# Crystal system: tetragonal
# Total moment: 0.000 μB per atom
# DOS at the Fermi energy: 2.177 states/eV per cell
# Total DFT energy (no corrections): -37.063 eV per atom
# Volume: 98.0 Å³/f.u.
# Space group: P4/mmm (123)
data_SbAu2ClF
_chemical_formula_sum 'Sb1 Au2 Cl1 F1'
_cell_length_a 4.933
_cell_length_b 4.933
_cell_length_c 4.029
_cell_angle_alpha 90.00
_cell_angle_beta 90.00
_cell_angle_gamma 90.00
_symmetry_space_group_name_H-M 'P 1'
_symmetry_Int_Tables_number 1
_symmetry_space_group_name_Hall 'P 1'
loop_
_atom_site_label
_atom_site_fract_x
_atom_site_fract_y
_atom_site_fract_z
_atom_site_occupancy
Sb1 0.000 0.000 0.000 1
Au1 0.000 0.500 0.500 1
Au2 0.500 0.000 0.500 1
Cl1 0.500 0.500 0.500 1
F1 0.500 0.500 0.000 1

***

# FeAu2Cl meta-GGA SCAN single point on PBEsol structure
# Uncorrected formation energy: 121 meV per atom
# Crystal system: orthorhombic
# Total moment: 0.917 μB per atom
# DOS at the Fermi energy: 1.861 states/eV per cell
# Total DFT energy (no corrections): -40.984 eV per atom
# Volume: 68.6 Å³/f.u.
# Space group: Imm2 (44)
# Energy relative to the lowest polymorph listed for this composition: 0.000 eV per formula unit
data_FeAu2Cl
_chemical_formula_sum 'Fe1 Au2 Cl1'
_cell_length_a 5.605
_cell_length_b 5.605
_cell_length_c 5.605
_cell_angle_alpha 151.07
_cell_angle_beta 125.68
_cell_angle_gamma 62.71
_symmetry_space_group_name_H-M 'P 1'
_symmetry_Int_Tables_number 1
_symmetry_space_group_name_Hall 'P 1'
loop_
_atom_site_label
_atom_site_fract_x
_atom_site_fract_y
_atom_site_fract_z
_atom_site_occupancy
Fe1 0.000 0.000 0.000 1
Au1 0.228 0.728 0.500 1
Au2 0.504 0.504 0.000 1
Cl1 0.814 0.314 0.500 1

***

# FeAu2Cl meta-GGA SCAN single point on PBEsol structure
# Uncorrected formation energy: 216 meV per atom
# Crystal system: tetragonal
# Total moment: 0.904 μB per atom
# DOS at the Fermi energy: 1.819 states/eV per cell
# Total DFT energy (no corrections): -40.889 eV per atom
# Volume: 69.6 Å³/f.u.
# Space group: P4/mmm (123)
# Energy relative to the lowest polymorph listed for this composition: 0.381 eV per formula unit
data_FeAu2Cl
_chemical_formula_sum 'Fe1 Au2 Cl1'
_cell_length_a 3.752
_cell_length_b 3.752
_cell_length_c 4.944
_cell_angle_alpha 90.00
_cell_angle_beta 90.00
_cell_angle_gamma 90.00
_symmetry_space_group_name_H-M 'P 1'
_symmetry_Int_Tables_number 1
_symmetry_space_group_name_Hall 'P 1'
loop_
_atom_site_label
_atom_site_fract_x
_atom_site_fract_y
_atom_site_fract_z
_atom_site_occupancy
Fe1 0.000 0.000 0.000 1
Au1 0.000 0.500 0.500 1
Au2 0.500 0.000 0.500 1
Cl1 0.500 0.500 0.000 1

***

# FeAu2Cl meta-GGA SCAN single point on PBEsol structure
# Uncorrected formation energy: 387 meV per atom
# Crystal system: cubic
# Total moment: 0.748 μB per atom
# DOS at the Fermi energy: 2.976 states/eV per cell
# Total DFT energy (no corrections): -40.718 eV per atom
# Volume: 65.8 Å³/f.u.
# Space group: F-43m (216)
# Energy relative to the lowest polymorph listed for this composition: 1.064 eV per formula unit
data_FeAu2Cl
_chemical_formula_sum 'Fe1 Au2 Cl1'
_cell_length_a 4.532
_cell_length_b 4.532
_cell_length_c 4.532
_cell_angle_alpha 60.00
_cell_angle_beta 60.00
_cell_angle_gamma 60.00
_symmetry_space_group_name_H-M 'P 1'
_symmetry_Int_Tables_number 1
_symmetry_space_group_name_Hall 'P 1'
loop_
_atom_site_label
_atom_site_fract_x
_atom_site_fract_y
_atom_site_fract_z
_atom_site_occupancy
Fe1 0.000 0.000 0.000 1
Au1 0.250 0.250 0.250 1
Au2 0.500 0.500 0.500 1
Cl1 0.750 0.750 0.750 1

***

# FeAuS2Cl meta-GGA SCAN single point on PBEsol structure
# Uncorrected formation energy: 355 meV per atom
# Crystal system: tetragonal
# Total moment: 0.781 μB per atom
# DOS at the Fermi energy: 3.229 states/eV per cell
# Total DFT energy (no corrections): -22.549 eV per atom
# Volume: 88.2 Å³/f.u.
# Space group: P4/mmm (123)
# Energy relative to the lowest polymorph listed for this composition: 0.000 eV per formula unit
data_FeAuS2Cl
_chemical_formula_sum 'Fe1 Au1 S2 Cl1'
_cell_length_a 4.395
_cell_length_b 4.395
_cell_length_c 4.567
_cell_angle_alpha 90.00
_cell_angle_beta 90.00
_cell_angle_gamma 90.00
_symmetry_space_group_name_H-M 'P 1'
_symmetry_Int_Tables_number 1
_symmetry_space_group_name_Hall 'P 1'
loop_
_atom_site_label
_atom_site_fract_x
_atom_site_fract_y
_atom_site_fract_z
_atom_site_occupancy
Fe1 0.000 0.000 0.000 1
Au1 0.500 0.500 0.500 1
S1 0.000 0.500 0.000 1
S2 0.500 0.000 0.000 1
Cl1 0.000 0.000 0.500 1

***

# FeAuS2Cl meta-GGA SCAN single point on PBEsol structure
# Uncorrected formation energy: 680 meV per atom
# Crystal system: tetragonal
# Total moment: 0.825 μB per atom
# DOS at the Fermi energy: 1.813 states/eV per cell
# Total DFT energy (no corrections): -22.224 eV per atom
# Volume: 108.3 Å³/f.u.
# Space group: P4/mmm (123)
# Energy relative to the lowest polymorph listed for this composition: 1.626 eV per formula unit
data_FeAuS2Cl
_chemical_formula_sum 'Fe1 Au1 S2 Cl1'
_cell_length_a 4.795
_cell_length_b 4.795
_cell_length_c 4.711
_cell_angle_alpha 90.00
_cell_angle_beta 90.00
_cell_angle_gamma 90.00
_symmetry_space_group_name_H-M 'P 1'
_symmetry_Int_Tables_number 1
_symmetry_space_group_name_Hall 'P 1'
loop_
_atom_site_label
_atom_site_fract_x
_atom_site_fract_y
_atom_site_fract_z
_atom_site_occupancy
Fe1 0.000 0.000 0.000 1
Au1 0.500 0.500 0.500 1
S1 0.000 0.500 0.500 1
S2 0.500 0.000 0.500 1
Cl1 0.500 0.500 0.000 1

***

# GeAuCl2 meta-GGA SCAN single point on PBEsol structure
# Uncorrected formation energy: 173 meV per atom
# Crystal system: cubic
# Total moment: 0.000 μB per atom
# DOS at the Fermi energy: 1.397 states/eV per cell
# Total DFT energy (no corrections): -25.877 eV per atom
# Volume: 77.0 Å³/f.u.
# Space group: Fm-3m (225)
data_GeAuCl2
_chemical_formula_sum 'Ge1 Au1 Cl2'
_cell_length_a 4.776
_cell_length_b 4.776
_cell_length_c 4.776
_cell_angle_alpha 60.00
_cell_angle_beta 60.00
_cell_angle_gamma 60.00
_symmetry_space_group_name_H-M 'P 1'
_symmetry_Int_Tables_number 1
_symmetry_space_group_name_Hall 'P 1'
loop_
_atom_site_label
_atom_site_fract_x
_atom_site_fract_y
_atom_site_fract_z
_atom_site_occupancy
Ge1 0.000 0.000 0.000 1
Au1 0.500 0.500 0.500 1
Cl1 0.250 0.250 0.250 1
Cl2 0.750 0.750 0.750 1